[1]
DFT (PBE) results for an optimized crystal structure of RbBaNa.

Geometry as CIF:
```
data_RbBaNa
_chemical_formula_sum 'Rb2 Ba2 Na2'
_symmetry_space_group_name_H-M 'P 1 m 1'
_symmetry_Int_Tables_number 6
_symmetry_space_group_name_Hall 'P -2y'
_cell_length_a 4.6538
_cell_length_b 6.0758
_cell_length_c 13.6355
_cell_angle_alpha 90.00
_cell_angle_beta 99.78
_cell_angle_gamma 90.00
loop_
_atom_site_label
_atom_site_type_symbol
_atom_site_fract_x
_atom_site_fract_y
_atom_site_fract_z
_atom_site_occupancy
Rb1 Rb 0.0000 0.0000 0.0000 1
Rb2 Rb 0.3847 0.5000 0.7748 1
Ba1 Ba 0.1923 0.5000 0.3875 1
Ba2 Ba 0.7839 0.0000 0.5717 1
Na1 Na 0.5653 0.5000 0.1304 1
Na2 Na 0.6360 0.0000 0.2731 1
```

Summary:
As for the formation energy from the elements: 63 meV/atom. The calculation puts the relative energy among the computed polymorphs at 0.11 eV per formula unit. The value obtained for the theoretical density is 2.15 g/cm³.

***

[2]
DFT (PBE) results for an optimized crystal structure of MgGa5Ag6.

Geometry as CIF:
```
data_MgGa5Ag6
_chemical_formula_sum 'Mg2 Ga10 Ag12'
_symmetry_space_group_name_H-M 'C 1 2/m 1'
_symmetry_Int_Tables_number 12
_symmetry_space_group_name_Hall '-C 2y'
_cell_length_a 9.1781
_cell_length_b 12.2702
_cell_length_c 4.1616
_cell_angle_alpha 90.00
_cell_angle_beta 114.39
_cell_angle_gamma 90.00
loop_
_atom_site_label
_atom_site_type_symbol
_atom_site_fract_x
_atom_site_fract_y
_atom_site_fract_z
_atom_site_occupancy
Mg1 Mg 0.0000 0.0000 0.0000 1
Ga1 Ga 0.0000 0.1687 0.5000 1
Ga2 Ga 0.0000 0.3277 0.0000 1
Ga3 Ga 0.0000 0.5000 0.5000 1
Ag1 Ag 0.2478 0.3344 0.7494 1
Ag2 Ag 0.2487 0.5000 0.2529 1
```

Summary:
As for the formation energy from the elements: -20 meV/atom. The calculation puts the relative energy among the computed polymorphs at 0.20 eV per formula unit. The value obtained for the theoretical density is 7.94 g/cm³.

***

[3]
DFT (PBE) results for an optimized crystal structure of AlAsP4.

Geometry as CIF:
```
data_AlAsP4
_chemical_formula_sum 'Al3 As3 P12'
_symmetry_space_group_name_H-M 'P 31 2 1'
_symmetry_Int_Tables_number 152
_symmetry_space_group_name_Hall 'P 31 2"'
_cell_length_a 6.6622
_cell_length_b 6.6622
_cell_length_c 10.5884
_cell_angle_alpha 90.00
_cell_angle_beta 90.00
_cell_angle_gamma 120.00
loop_
_atom_site_label
_atom_site_type_symbol
_atom_site_fract_x
_atom_site_fract_y
_atom_site_fract_z
_atom_site_occupancy
Al1 Al 0.0000 0.4101 0.1667 1
As1 As 0.0000 0.4078 0.6667 1
P1 P 0.0219 0.6855 0.3224 1
P2 P 0.0216 0.6958 0.8094 1
```

Summary:
As for the formation energy from the elements: 131 meV/atom. The calculation puts the relative energy among the computed polymorphs at 0.00 eV per formula unit. The value obtained for the theoretical density is 2.76 g/cm³.

***

[4]
DFT (PBE) results for an optimized crystal structure of CeTmCI.

Geometry as CIF:
```
data_CeTmCI
_chemical_formula_sum 'Ce3 Tm3 C3 I3'
_symmetry_space_group_name_H-M 'R 3 m'
_symmetry_Int_Tables_number 160
_symmetry_space_group_name_Hall 'R 3 -2"'
_cell_length_a 3.7405
_cell_length_b 3.7405
_cell_length_c 22.8633
_cell_angle_alpha 90.00
_cell_angle_beta 90.00
_cell_angle_gamma 120.00
loop_
_atom_site_label
_atom_site_type_symbol
_atom_site_fract_x
_atom_site_fract_y
_atom_site_fract_z
_atom_site_occupancy
Ce1 Ce 0.0000 0.0000 0.0000 1
Tm1 Tm 0.0000 0.0000 0.7812 1
C1 C 0.0000 0.0000 0.3953 1
I1 I 0.0000 0.0000 0.2171 1
```

Summary:
The energy relative to the elements, uncorrected comes out at -688.9 meV/atom. The value obtained for the theoretical density is 8.06 g/cm³.